K2YW: relaxed, PBE-GGA.

abc: 10.0060 3.0573 9.8846
angles: 90.00 91.94 90.00
With the nearest neighbours (Å) after each atom.
Positions (direct):
1 K 0.0000 0.0000 0.0000  2 K 3.06
2 K 0.2372 0.0000 0.6194  2 K 3.06
3 K 0.5000 0.5000 0.0000  2 K 3.06
4 K 0.7372 0.5000 0.6194  2 K 3.06
5 Y 0.4764 0.0000 0.3509  3 W 2.86-2.89, 2 Y 3.06
6 Y 0.9764 0.5000 0.3509  3 W 2.86-2.89, 2 Y 3.06
7 W 0.2486 0.5000 0.2608  3 Y 2.86-2.89, 2 W 3.06
8 W 0.7486 0.0000 0.2608  3 Y 2.86-2.89, 2 W 3.06

## Properties
Energy relative to the elements in meV/atom: 1107.5
E above lowest polymorph in meV per atom: 160
Crystal system: monoclinic
Raw total energy in eV/atom: -4.2956
Total magnetization in μB per cell: 0.9
Calculated density in kg/m3: 3857

***

KY2W: relaxed, PBE-GGA.

abc: 5.2193 5.2193 3.9289
angles: 90.00 90.00 90.00
With the nearest neighbours (Å) after each atom.
Positions (direct):
1 K 0.0000 0.0000 0.0000  8 Y 3.27
2 Y 0.0000 0.5000 0.5000  4 W 3.27, 4 K 3.27
3 Y 0.5000 0.0000 0.5000  4 W 3.27, 4 K 3.27
4 W 0.5000 0.5000 0.0000  8 Y 3.27

## Properties
Energy relative to the elements in meV/atom: 1118.4
E above lowest polymorph in meV per atom: 639
Crystal system: tetragonal
Raw total energy in eV/atom: -5.6263
Total magnetization in μB per cell: 0.0
Calculated density in kg/m3: 6218

***

KY2W: relaxed, PBE-GGA.

abc: 10.5529 3.1662 8.1363
angles: 90.00 93.01 90.00
With the nearest neighbours (Å) after each atom.
Positions (direct):
1 K 0.0000 0.0000 0.0000  2 K 3.17
2 K 0.5000 0.5000 0.0000  2 K 3.17
3 Y 0.2378 0.0000 0.6426  2 W 2.95, 3 Y 3.17-3.24
4 Y 0.4864 0.0000 0.4251  3 W 2.93-2.99, 3 Y 3.17-3.24
5 Y 0.7378 0.5000 0.6426  2 W 2.95, 3 Y 3.17-3.24
6 Y 0.9864 0.5000 0.4251  3 W 2.93-2.99, 3 Y 3.17-3.24
7 W 0.2520 0.5000 0.3389  5 Y 2.93-2.99, 2 W 3.17
8 W 0.7520 0.0000 0.3389  5 Y 2.93-2.99, 2 W 3.17

## Properties
Energy relative to the elements in meV/atom: 853.0
E above lowest polymorph in meV per atom: 374
Crystal system: monoclinic
Raw total energy in eV/atom: -5.8917
Total magnetization in μB per cell: 0.0
Calculated density in kg/m3: 4902

***

K2YW: relaxed, PBE-GGA.

abc: 3.4195 3.4195 39.1370
angles: 90.00 90.00 120.00
With the nearest neighbours (Å) after each atom.
Positions (direct):
1 K 0.0000 0.0000 0.0000  6 K 3.42, 3 W 3.54
2 K 0.0000 0.0000 0.2276  6 K 3.42
3 K 0.3333 0.6667 0.6667  6 K 3.42, 3 W 3.54
4 K 0.3333 0.6667 0.8943  6 K 3.42
5 K 0.6667 0.3333 0.3333  6 K 3.42, 3 W 3.54
6 K 0.6667 0.3333 0.5609  6 K 3.42
7 Y 0.0000 0.0000 0.4640  3 W 2.94
8 Y 0.3333 0.6667 0.1306  3 W 2.94
9 Y 0.6667 0.3333 0.7973  3 W 2.94
10 W 0.0000 0.0000 0.7416  3 Y 2.94
11 W 0.3333 0.6667 0.4083  3 Y 2.94
12 W 0.6667 0.3333 0.0750  3 Y 2.94

## Properties
Energy relative to the elements in meV/atom: 1037.1
E above lowest polymorph in meV per atom: 90
Crystal system: trigonal
Raw total energy in eV/atom: -4.3660
Total magnetization in μB per cell: 0.8
Calculated density in kg/m3: 4411

***

KY2W: relaxed, PBE-GGA.

abc: 3.5950 3.5950 34.8345
angles: 90.00 90.00 120.00
With the nearest neighbours (Å) after each atom.
Positions (direct):
1 K 0.0000 0.0000 0.0000  6 K 3.60
2 K 0.3333 0.6667 0.6667  6 K 3.60
3 K 0.6667 0.3333 0.3333  6 K 3.60
4 Y 0.0000 0.0000 0.2257  3 W 2.92
5 Y 0.0000 0.0000 0.7743  3 W 2.92
6 Y 0.3333 0.6667 0.4410  3 W 2.92
7 Y 0.3333 0.6667 0.8924  3 W 2.92
8 Y 0.6667 0.3333 0.1076  3 W 2.92
9 Y 0.6667 0.3333 0.5590  3 W 2.92
10 W 0.0000 0.0000 0.5000  6 Y 2.92
11 W 0.3333 0.6667 0.1667  6 Y 2.92
12 W 0.6667 0.3333 0.8333  6 Y 2.92

## Properties
Energy relative to the elements in meV/atom: 700.0
E above lowest polymorph in meV per atom: 221
Crystal system: trigonal
Raw total energy in eV/atom: -6.0447
Total magnetization in μB per cell: 0.0
Calculated density in kg/m3: 5120

***

KYW2: relaxed, PBE-GGA.

abc: 3.9486 3.9486 5.3707
angles: 90.00 90.00 90.00
With the nearest neighbours (Å) after each atom.
Positions (direct):
1 K 0.0000 0.0000 0.0000  4 Y 2.79
2 Y 0.5000 0.5000 0.0000  4 K 2.79
3 W 0.0000 0.5000 0.5000  4 W 2.79
4 W 0.5000 0.0000 0.5000  4 W 2.79

## Properties
Energy relative to the elements in meV/atom: 1374.3
E above lowest polymorph in meV per atom: 703
Crystal system: tetragonal
Raw total energy in eV/atom: -6.9927
Total magnetization in μB per cell: 0.0
Calculated density in kg/m3: 9830

***

KY2W: relaxed, PBE-GGA.

abc: 3.8695 3.8695 9.0308
angles: 90.00 90.00 90.00
With the nearest neighbours (Å) after each atom.
Positions (direct):
1 K 0.0000 0.0000 0.0000  1 Y 3.61, 4 W 3.82, 4 K 3.87
2 Y 0.0000 0.0000 0.3999  4 W 2.90
3 Y 0.5000 0.5000 0.6234  1 W 2.97
4 W 0.5000 0.5000 0.2947  5 Y 2.90-2.97

## Properties
Energy relative to the elements in meV/atom: 886.4
E above lowest polymorph in meV per atom: 407
Crystal system: tetragonal
Raw total energy in eV/atom: -5.8583
Total magnetization in μB per cell: 0.0
Calculated density in kg/m3: 4921

***

KYW2: relaxed, PBE-GGA.

abc: 3.9410 3.9410 7.6066
angles: 90.00 90.00 90.00
With the nearest neighbours (Å) after each atom.
Positions (direct):
1 K 0.0000 0.0000 0.0000  2 Y 3.80, 8 W 3.84, 4 K 3.94
2 Y 0.0000 0.0000 0.5000  8 W 3.02
3 W 0.5000 0.5000 0.3483  1 W 2.31
4 W 0.5000 0.5000 0.6517  1 W 2.31

## Properties
Energy relative to the elements in meV/atom: 1340.0
E above lowest polymorph in meV per atom: 669
Crystal system: tetragonal
Raw total energy in eV/atom: -7.0270
Total magnetization in μB per cell: 1.3
Calculated density in kg/m3: 6967

***

KYW2: relaxed, PBE-GGA.

abc: 7.1348 7.1348 7.1348
angles: 90.00 90.00 90.00
With the nearest neighbours (Å) after each atom.
Positions (direct):
1 K 0.0000 0.0000 0.0000  8 W 3.09
2 K 0.0000 0.5000 0.5000  8 W 3.09
3 K 0.5000 0.0000 0.5000  8 W 3.09
4 K 0.5000 0.5000 0.0000  8 W 3.09
5 Y 0.0000 0.0000 0.5000  8 W 3.09
6 Y 0.0000 0.5000 0.0000  8 W 3.09
7 Y 0.5000 0.0000 0.0000  8 W 3.09
8 Y 0.5000 0.5000 0.5000  8 W 3.09
9 W 0.2500 0.2500 0.2500  4 K 3.09, 4 Y 3.09
10 W 0.2500 0.2500 0.7500  4 K 3.09, 4 Y 3.09
11 W 0.2500 0.7500 0.2500  4 K 3.09, 4 Y 3.09
12 W 0.2500 0.7500 0.7500  4 K 3.09, 4 Y 3.09
13 W 0.7500 0.2500 0.2500  4 K 3.09, 4 Y 3.09
14 W 0.7500 0.2500 0.7500  4 K 3.09, 4 Y 3.09
15 W 0.7500 0.7500 0.2500  4 K 3.09, 4 Y 3.09
16 W 0.7500 0.7500 0.7500  4 K 3.09, 4 Y 3.09

## Properties
Energy relative to the elements in meV/atom: 2131.1
E above lowest polymorph in meV per atom: 1460
Crystal system: cubic
Raw total energy in eV/atom: -6.2359
Total magnetization in μB per cell: 0.0
Calculated density in kg/m3: 9065

***

KY2W2: relaxed, PBE-GGA.

abc: 5.6647 5.6647 8.9679
angles: 90.00 90.00 90.00
With the nearest neighbours (Å) after each atom.
Positions (direct):
1 K 0.0000 0.0000 0.0000  2 W 3.33, 8 Y 3.61
2 K 0.5000 0.5000 0.5000  2 W 3.33, 8 Y 3.61
3 Y 0.0000 0.5000 0.2500  4 W 3.03
4 Y 0.0000 0.5000 0.7500  4 W 3.03
5 Y 0.5000 0.0000 0.2500  4 W 3.03
6 Y 0.5000 0.0000 0.7500  4 W 3.03
7 W 0.0000 0.0000 0.3708  1 W 2.32
8 W 0.0000 0.0000 0.6292  1 W 2.32
9 W 0.5000 0.5000 0.1292  1 W 2.32
10 W 0.5000 0.5000 0.8708  1 W 2.32

## Properties
Energy relative to the elements in meV/atom: 1219.7
E above lowest polymorph in meV per atom: 577
Crystal system: tetragonal
Raw total energy in eV/atom: -6.7667
Total magnetization in μB per cell: 0.0
Calculated density in kg/m3: 6747

***

KY2W: relaxed, PBE-GGA.

abc: 4.6636 4.6636 10.0292
angles: 90.00 90.00 90.00
With the nearest neighbours (Å) after each atom.
Positions (direct):
1 K 0.0000 0.0000 0.0000  8 Y 3.30-3.42, 4 W 3.42
2 K 0.5000 0.5000 0.5000  8 Y 3.30-3.42, 4 W 3.42
3 Y 0.0000 0.0000 0.5000  4 K 3.30, 4 W 3.42, 4 Y 3.42
4 Y 0.0000 0.5000 0.2500  4 W 3.30, 4 K 3.42, 4 Y 3.42
5 Y 0.5000 0.0000 0.7500  4 W 3.30, 4 K 3.42, 4 Y 3.42
6 Y 0.5000 0.5000 0.0000  4 K 3.30, 4 W 3.42, 4 Y 3.42
7 W 0.0000 0.5000 0.7500  8 Y 3.30-3.42, 4 K 3.42
8 W 0.5000 0.0000 0.2500  8 Y 3.30-3.42, 4 K 3.42

## Properties
Energy relative to the elements in meV/atom: 1179.5
E above lowest polymorph in meV per atom: 700
Crystal system: tetragonal
Raw total energy in eV/atom: -5.5652
Total magnetization in μB per cell: 0.7
Calculated density in kg/m3: 6101

***

KYW2: relaxed, PBE-GGA.

abc: 3.1626 4.7924 11.5030
angles: 90.00 90.00 90.00
With the nearest neighbours (Å) after each atom.
Positions (direct):
1 K 0.0000 0.0000 0.0000  6 K 2.87-3.16
2 K 0.5000 0.5000 0.0000  6 K 2.87-3.16
3 Y 0.0000 0.0000 0.5000  6 Y 2.87-3.16, 4 W 3.07
4 Y 0.5000 0.5000 0.5000  6 Y 2.87-3.16, 4 W 3.07
5 W 0.0000 0.5000 0.2717  6 W 2.87-3.16, 2 Y 3.07
6 W 0.0000 0.5000 0.7283  6 W 2.87-3.16, 2 Y 3.07
7 W 0.5000 0.0000 0.2717  6 W 2.87-3.16, 2 Y 3.07
8 W 0.5000 0.0000 0.7283  6 W 2.87-3.16, 2 Y 3.07

## Properties
Energy relative to the elements in meV/atom: 1166.3
E above lowest polymorph in meV per atom: 495
Crystal system: orthorhombic
Raw total energy in eV/atom: -7.2006
Total magnetization in μB per cell: 0.0
Calculated density in kg/m3: 9442

***

KYW2: relaxed, PBE-GGA.

abc: 4.0422 4.0422 22.0389
angles: 90.00 90.00 90.00
With the nearest neighbours (Å) after each atom.
Positions (direct):
1 K 0.0000 0.0000 0.0000  4 Y 2.86, 4 W 3.16
2 K 0.0000 0.5000 0.2500  4 Y 2.86, 4 W 3.16
3 K 0.5000 0.0000 0.7500  4 Y 2.86, 4 W 3.16
4 K 0.5000 0.5000 0.5000  4 Y 2.86, 4 W 3.16
5 Y 0.0000 0.0000 0.5000  4 K 2.86, 4 W 3.06
6 Y 0.0000 0.5000 0.7500  4 K 2.86, 4 W 3.06
7 Y 0.5000 0.0000 0.2500  4 K 2.86, 4 W 3.06
8 Y 0.5000 0.5000 0.0000  4 K 2.86, 4 W 3.06
9 W 0.2132 0.7500 0.6250  2 W 2.66
10 W 0.2500 0.2132 0.3750  2 W 2.66
11 W 0.2500 0.2868 0.8750  2 W 2.66
12 W 0.2868 0.7500 0.1250  2 W 2.66
13 W 0.7132 0.2500 0.1250  2 W 2.66
14 W 0.7500 0.7132 0.8750  2 W 2.66
15 W 0.7500 0.7868 0.3750  2 W 2.66
16 W 0.7868 0.2500 0.6250  2 W 2.66

## Properties
Energy relative to the elements in meV/atom: 1651.3
E above lowest polymorph in meV per atom: 980
Crystal system: tetragonal
Raw total energy in eV/atom: -6.7156
Total magnetization in μB per cell: 0.0
Calculated density in kg/m3: 9143

***

K2YW: relaxed, PBE-GGA.

abc: 6.0609 13.3012 3.0354
angles: 90.00 90.00 90.00
With the nearest neighbours (Å) after each atom.
Positions (direct):
1 K 0.2500 0.2500 0.0000  4 K 3.03-3.04
2 K 0.2500 0.7500 0.0000  4 K 3.03-3.04
3 K 0.7500 0.2500 0.0000  4 K 3.03-3.04
4 K 0.7500 0.7500 0.0000  4 K 3.03-3.04
5 Y 0.0000 0.0000 0.5000  2 W 3.03, 2 Y 3.04
6 Y 0.5000 0.5000 0.5000  2 W 3.03, 2 Y 3.04
7 W 0.0000 0.5000 0.5000  2 Y 3.03, 2 W 3.04
8 W 0.5000 0.0000 0.5000  2 Y 3.03, 2 W 3.04

## Properties
Energy relative to the elements in meV/atom: 1446.4
E above lowest polymorph in meV per atom: 499
Crystal system: orthorhombic
Raw total energy in eV/atom: -3.9567
Total magnetization in μB per cell: 0.6
Calculated density in kg/m3: 4763

***

K2YW: relaxed, PBE-GGA.

abc: 3.1284 4.5153 10.5154
angles: 90.00 90.06 90.00
With the nearest neighbours (Å) after each atom.
Positions (direct):
1 K 0.0000 0.0000 0.0000  2 K 3.13
2 K 0.4800 0.5000 0.3787  2 K 3.13
3 Y 0.9994 0.0000 0.6533  4 W 2.96, 2 Y 3.13
4 W 0.5001 0.5000 0.7583  4 Y 2.96, 2 W 3.13

## Properties
Energy relative to the elements in meV/atom: 994.9
E above lowest polymorph in meV per atom: 47
Crystal system: monoclinic
Raw total energy in eV/atom: -4.4081
Total magnetization in μB per cell: 0.0
Calculated density in kg/m3: 3923